Record 1
HgTe2Au: relaxed, GGA-PBE.

a = 4.082 Å, b = 7.642 Å, c = 8.210 Å
α = 90.00°, β = 90.00°, γ = 90.00°
Space group Cmmm (No. 65)
Inequivalent atoms, fractional coordinates:
Hg  0.000  0.000  0.000 [2 per cell]
Te  0.000  0.500  0.283 [4 per cell]
Au  0.000  0.000  0.500 [2 per cell]

Properties
Energy relative to the elements, uncorrected: 94.4 meV per atom
VASP energy: -2.37 eV per atom
Volume: 256.13 Å³ per cell
N(E_F): 0.77 states/eV/atom



Record 2
Ac2LaCe3N6: relaxed, GGA-PBE.

a = 16.169 Å, b = 3.682 Å, c = 7.425 Å
α = 90.00°, β = 104.04°, γ = 90.00°
Space group C2/m (No. 12)
Inequivalent atoms, fractional coordinates:
Ac  0.166  0.000  0.331 [4 per cell]
La  0.000  0.500  0.000 [2 per cell]
Ce  0.000  0.500  0.500 [2 per cell]
Ce  0.165  0.000  0.834 [4 per cell]
N  0.008  0.000  0.739 [4 per cell]
N  0.157  0.500  0.604 [4 per cell]
N  0.171  0.500  0.061 [4 per cell]

Properties
Energy relative to the elements, uncorrected: -1320.2 meV per atom
VASP energy: -8.06 eV per atom
Volume: 428.80 Å³ per cell
N(E_F): 0.62 states/eV/atom



Record 3
LiPm2Pb: relaxed, GGA-PBE.

a = 5.024 Å, b = 5.024 Å, c = 4.451 Å
α = 90.00°, β = 90.00°, γ = 90.00°
Space group P4/mmm (No. 123)
Inequivalent atoms, fractional coordinates:
Li  0.000  0.000  0.000 [1 per cell]
Pm  0.000  0.500  0.500 [2 per cell]
Pb  0.500  0.500  0.000 [1 per cell]

Properties
VASP energy: -4.10 eV per atom
Volume: 112.34 Å³ per cell
Formation energy from the elements: -1.29 eV/f.u.
N(E_F): 0.94 states/eV/atom



Record 4
Er2ThCo2: relaxed, GGA-PBE.

a = 3.718 Å, b = 6.125 Å, c = 9.553 Å
α = 90.00°, β = 90.00°, γ = 90.00°
Space group Immm (No. 71)
Inequivalent atoms, fractional coordinates:
Er  0.000  0.000  0.189 [4 per cell]
Th  0.000  0.500  0.000 [2 per cell]
Co  0.000  0.304  0.500 [4 per cell]

Properties
Offset from the most stable computed form: 0 meV per atom
VASP energy: -6.44 eV per atom
Volume: 217.57 Å³ per cell
Formation energy from the elements: -1.43 eV/f.u.
N(E_F): 0.79 states/eV/atom



Record 5
SrZn4Tc: relaxed, GGA-PBE.

a = 7.518 Å, b = 7.518 Å, c = 7.518 Å
α = 90.00°, β = 90.00°, γ = 90.00°
Space group F-43m (No. 216)
Inequivalent atoms, fractional coordinates:
Sr  0.000  0.000  0.000 [4 per cell]
Zn  0.123  0.123  0.377 [16 per cell]
Tc  0.250  0.250  0.750 [4 per cell]

Properties
VASP energy: -2.71 eV per atom
Volume: 424.97 Å³ per cell
Formation energy from the elements: 0.86 eV/f.u.
N(E_F): 0.43 states/eV/atom



Record 6
HoMgAl3: relaxed, GGA-PBE.

a = 3.374 Å, b = 26.818 Å, c = 4.530 Å
α = 90.00°, β = 90.00°, γ = 90.00°
Space group Cmcm (No. 63)
Inequivalent atoms, fractional coordinates:
Ho  0.000  0.074  0.250 [4 per cell]
Mg  0.000  0.216  0.750 [4 per cell]
Al  0.000  0.323  0.750 [4 per cell]
Al  0.000  0.376  0.250 [4 per cell]
Al  0.000  0.475  0.250 [4 per cell]

Properties
VASP energy: -3.75 eV per atom
Volume: 409.84 Å³ per cell
Formation energy from the elements: -1.36 eV/f.u.
N(E_F): 0.35 states/eV/atom



Record 7
Tb6AlTe12: relaxed, GGA-PBE.

a = 13.3099 Å, b = 13.3099 Å, c = 12.4701 Å
α = 90.00°, β = 90.00°, γ = 120.00°
Space group R-3 (No. 148, hexagonal axes)
Inequivalent atoms, fractional coordinates:
Tb  0.0531  0.6129  0.3093 [18 per cell]
Al  0.0000  0.0000  0.0000 [3 per cell]
Te  0.0369  0.8247  0.3948 [18 per cell]
Te  0.0652  0.8616  0.8827 [18 per cell]

Properties
Energy relative to the elements, uncorrected: -1050.8 meV per atom
VASP energy: -4.69 eV per atom
Volume: 1913.14 Å³ per cell
N(E_F): 0.83 states/eV/atom



Record 8
YBeHg3: relaxed, GGA-PBE.

a = 4.783 Å, b = 4.783 Å, c = 4.783 Å
α = 90.00°, β = 90.00°, γ = 90.00°
Space group Pm-3m (No. 221)
Inequivalent atoms, fractional coordinates:
Y  0.000  0.000  0.000 [1 per cell]
Be  0.500  0.500  0.500 [1 per cell]
Hg  0.000  0.500  0.500 [3 per cell]

Properties
Offset from the most stable computed form: 0 meV per atom
VASP energy: -2.24 eV per atom
Volume: 109.43 Å³ per cell
Formation energy from the elements: -0.11 eV/f.u.
N(E_F): 0.36 states/eV/atom



Record 9
Pu2VCuGe6: relaxed, GGA-PBE.

a = 6.460 Å, b = 8.784 Å, c = 7.036 Å
α = 90.00°, β = 90.00°, γ = 90.00°
Space group Pmmn (No. 59, origin choice 2)
Inequivalent atoms, fractional coordinates:
Pu  0.250  0.007  0.245 [4 per cell]
V  0.250  0.750  0.906 [2 per cell]
Cu  0.250  0.250  0.606 [2 per cell]
Ge  0.058  0.750  0.571 [4 per cell]
Ge  0.059  0.250  0.924 [4 per cell]
Ge  0.250  0.507  0.733 [4 per cell]

Properties
VASP energy: -7.06 eV per atom
Volume: 399.25 Å³ per cell
Formation energy from the elements: -1.05 eV/f.u.
N(E_F): 2.22 states/eV/atom



Record 10
NaHS: relaxed, GGA-PBE.

a = 3.949 Å, b = 4.510 Å, c = 6.011 Å
α = 90.00°, β = 100.09°, γ = 90.00°
Space group P2_1/m (No. 11)
Inequivalent atoms, fractional coordinates:
Na  0.235  0.250  0.268 [2 per cell]
H  0.453  0.750  0.105 [2 per cell]
S  0.243  0.250  0.751 [2 per cell]

Properties
VASP energy: -3.62 eV per atom
Volume: 105.40 Å³ per cell
N(E_F): 0.00 states/eV/atom



Record 11
HoMgAs2: relaxed, GGA-PBE.

a = 4.1270 Å, b = 4.1270 Å, c = 18.8705 Å
α = 90.00°, β = 90.00°, γ = 120.00°
Space group R3m (No. 160, hexagonal axes)
Inequivalent atoms, fractional coordinates:
Ho  0.0000  0.0000  0.0000 [3 per cell]
Mg  0.0000  0.0000  0.1737 [3 per cell]
As  0.0000  0.0000  0.4213 [3 per cell]
As  0.0000  0.0000  0.5810 [3 per cell]

Properties
Offset from the most stable computed form: 0 meV per atom
VASP energy: -4.72 eV per atom
Volume: 278.34 Å³ per cell
Formation energy from the elements: -3.40 eV/f.u.
N(E_F): 0.37 states/eV/atom



Record 12
Sm2Ho2Bi3: relaxed, GGA-PBE.

a = 14.344 Å, b = 4.515 Å, c = 7.513 Å
α = 90.00°, β = 99.26°, γ = 90.00°
Space group C2/m (No. 12)
Inequivalent atoms, fractional coordinates:
Sm  0.123  0.000  0.355 [4 per cell]
Ho  0.117  0.500  0.886 [4 per cell]
Bi  0.000  0.500  0.500 [2 per cell]
Bi  0.239  0.000  0.755 [4 per cell]

Properties
VASP energy: -4.92 eV per atom
Volume: 480.26 Å³ per cell
Formation energy from the elements: -4.23 eV/f.u.
N(E_F): 0.49 states/eV/atom



Record 13
HoUGaO6: relaxed, GGA-PBE.

a = 5.3356 Å, b = 5.3356 Å, c = 9.8263 Å
α = 90.00°, β = 90.00°, γ = 120.00°
Space group P-31c (No. 163)
Inequivalent atoms, fractional coordinates:
Ho  0.0000  0.0000  0.0000 [2 per cell]
U  0.3333  0.6667  0.2500 [2 per cell]
Ga  0.3333  0.6667  0.7500 [2 per cell]
O  0.0103  0.3540  0.6370 [12 per cell]

Properties
Energy relative to the elements, uncorrected: -2848.5 meV per atom
VASP energy: -8.25 eV per atom
Volume: 242.27 Å³ per cell
N(E_F): 0.00 states/eV/atom



Record 14
Pm2Tm3Cd2: relaxed, GGA-PBE.

a = 5.4020 Å, b = 5.4020 Å, c = 23.9139 Å
α = 90.00°, β = 90.00°, γ = 120.00°
Space group R-3m (No. 166, hexagonal axes)
Inequivalent atoms, fractional coordinates:
Pm  0.0000  0.0000  0.0755 [6 per cell]
Tm  0.0000  0.0000  0.3452 [6 per cell]
Tm  0.0000  0.0000  0.5000 [3 per cell]
Cd  0.0000  0.0000  0.2137 [6 per cell]

Properties
Offset from the most stable computed form: 0 meV per atom
VASP energy: -3.67 eV per atom
Volume: 604.34 Å³ per cell
Formation energy from the elements: -0.97 eV/f.u.
N(E_F): 1.43 states/eV/atom



Record 15
Tc3SbIr: relaxed, GGA-PBE.

a = 4.730 Å, b = 4.730 Å, c = 4.730 Å
α = 90.00°, β = 90.00°, γ = 90.00°
Space group Pm-3m (No. 221)
Inequivalent atoms, fractional coordinates:
Tc  0.000  0.000  0.500 [3 per cell]
Sb  0.500  0.500  0.500 [1 per cell]
Ir  0.000  0.000  0.000 [1 per cell]

Properties
Offset from the most stable computed form: 0 meV per atom
Energy relative to the elements, uncorrected: 1550.7 meV per atom
VASP energy: -7.27 eV per atom
Volume: 105.85 Å³ per cell
N(E_F): 1.72 states/eV/atom



Record 16
NaTb2F6: relaxed, GGA-PBE.

a = 3.844 Å, b = 3.844 Å, c = 17.180 Å
α = 90.00°, β = 90.00°, γ = 90.00°
Space group I4/mmm (No. 139)
Inequivalent atoms, fractional coordinates:
Na  0.000  0.000  0.000 [2 per cell]
Tb  0.000  0.000  0.340 [4 per cell]
F  0.000  0.500  0.088 [8 per cell]
F  0.000  0.500  0.250 [4 per cell]

Properties
Energy relative to the elements, uncorrected: -3542.9 meV per atom
VASP energy: -5.97 eV per atom
Volume: 253.86 Å³ per cell
N(E_F): 0.21 states/eV/atom



Record 17
Ba2CuPdO6: relaxed, GGA-PBE.

a = 5.8039 Å, b = 5.8039 Å, c = 28.9490 Å
α = 90.00°, β = 90.00°, γ = 120.00°
Space group R-3m (No. 166, hexagonal axes)
Inequivalent atoms, fractional coordinates:
Ba  0.0000  0.0000  0.1248 [6 per cell]
Ba  0.0000  0.0000  0.2898 [6 per cell]
Cu  0.0000  0.0000  0.0000 [3 per cell]
Cu  0.0000  0.0000  0.5000 [3 per cell]
Pd  0.0000  0.0000  0.4094 [6 per cell]
O  0.0125  0.5063  0.7087 [18 per cell]
O  0.0309  0.5155  0.1245 [18 per cell]

Properties
Energy relative to the elements, uncorrected: -1323.5 meV per atom
VASP energy: -5.61 eV per atom
Volume: 844.52 Å³ per cell
N(E_F): 0.67 states/eV/atom



Record 18
K2YFe: relaxed, GGA-PBE.

a = 3.423 Å, b = 3.423 Å, c = 12.244 Å
α = 90.00°, β = 90.00°, γ = 90.00°
Space group P4/mmm (No. 123)
Inequivalent atoms, fractional coordinates:
K  0.000  0.000  0.209 [2 per cell]
Y  0.500  0.500  0.500 [1 per cell]
Fe  0.500  0.500  0.000 [1 per cell]

Properties
Offset from the most stable computed form: 498 meV per atom
VASP energy: -3.28 eV per atom
Volume: 143.50 Å³ per cell
Formation energy from the elements: 4.00 eV/f.u.
N(E_F): 1.48 states/eV/atom



Record 19
NdHo2S3: relaxed, GGA-PBE.

a = 3.939 Å, b = 5.588 Å, c = 11.865 Å
α = 90.00°, β = 90.00°, γ = 90.00°
Space group Immm (No. 71)
Inequivalent atoms, fractional coordinates:
Nd  0.000  0.000  0.000 [2 per cell]
Ho  0.000  0.000  0.339 [4 per cell]
S  0.000  0.500  0.000 [2 per cell]
S  0.000  0.500  0.323 [4 per cell]

Properties
Energy relative to the elements, uncorrected: -1983.3 meV per atom
VASP energy: -6.37 eV per atom
Volume: 261.16 Å³ per cell
N(E_F): 0.42 states/eV/atom



Record 20
NaNiCl2: relaxed, GGA-PBE.

a = 5.769 Å, b = 5.769 Å, c = 11.368 Å
α = 90.00°, β = 90.00°, γ = 90.00°
Space group I-42d (No. 122)
Inequivalent atoms, fractional coordinates:
Na  0.000  0.000  0.000 [4 per cell]
Ni  0.000  0.000  0.500 [4 per cell]
Cl  0.190  0.250  0.625 [8 per cell]

Properties
Offset from the most stable computed form: 0 meV per atom
Energy relative to the elements, uncorrected: -850.4 meV per atom
VASP energy: -3.55 eV per atom
Volume: 378.38 Å³ per cell
N(E_F): 1.15 states/eV/atom